Entry 1:
# PBE LiAcPd4, relaxed
# Density of states at the Fermi level (states/eV/cell): 13.1
# Calculated density (g cm⁻³): 9.41
# Total moment (μB/f.u.): 0.00
# Energy of formation from the pure elements (meV per atom): -619
# DFT total energy (eV per cell): -122.042
data_LiAcPd4
_cell_length_a 7.752
_cell_length_b 7.752
_cell_length_c 7.752
_cell_angle_alpha 90.00
_cell_angle_beta 90.00
_cell_angle_gamma 90.00
_symmetry_space_group_name_H-M 'F -4 3 m'
_symmetry_Int_Tables_number 216
_symmetry_space_group_name_Hall 'F -4 2 3'
loop_
_atom_site_label
_atom_site_type_symbol
_atom_site_fract_x
_atom_site_fract_y
_atom_site_fract_z
_atom_site_occupancy
Li1 Li 0.000 0.000 0.000 1
Ac1 Ac 0.250 0.250 0.750 1
Pd1 Pd 0.126 0.126 0.374 1

---

Entry 2:
# PBE PaGa2SbO8, relaxed
# Calculated density (g cm⁻³): 6.77
# Total moment (μB/f.u.): 0.00
# Raw formation energy (eV/atom): -2.069
# DFT total energy (eV per cell): -168.339
data_PaGa2SbO8
_cell_length_a 6.755
_cell_length_b 6.755
_cell_length_c 6.663
_cell_angle_alpha 90.00
_cell_angle_beta 90.00
_cell_angle_gamma 90.00
_symmetry_space_group_name_H-M 'I -4 m 2'
_symmetry_Int_Tables_number 119
_symmetry_space_group_name_Hall 'I -4 -2'
loop_
_atom_site_label
_atom_site_type_symbol
_atom_site_fract_x
_atom_site_fract_y
_atom_site_fract_z
_atom_site_occupancy
Pa1 Pa 0.000 0.000 0.000 1
Ga1 Ga 0.000 0.000 0.500 1
Ga2 Ga 0.000 0.500 0.250 1
Sb1 Sb 0.000 0.500 0.750 1
O1 O 0.000 0.197 0.695 1
O2 O 0.000 0.318 0.043 1

---

Entry 3:
# PBE MnCd4Ni, relaxed
# Density of states at the Fermi level (states/eV/cell): 10.0
# Calculated density (g cm⁻³): 7.78
# Total moment (μB/f.u.): 4.84
# Energy of formation from the pure elements (meV per atom): 453
# DFT total energy (eV per cell): -63.583
data_MnCd4Ni
_cell_length_a 7.834
_cell_length_b 7.834
_cell_length_c 7.834
_cell_angle_alpha 90.00
_cell_angle_beta 90.00
_cell_angle_gamma 90.00
_symmetry_space_group_name_H-M 'F -4 3 m'
_symmetry_Int_Tables_number 216
_symmetry_space_group_name_Hall 'F -4 2 3'
loop_
_atom_site_label
_atom_site_type_symbol
_atom_site_fract_x
_atom_site_fract_y
_atom_site_fract_z
_atom_site_occupancy
Mn1 Mn 0.000 0.000 0.000 1
Cd1 Cd 0.125 0.125 0.375 1
Ni1 Ni 0.250 0.250 0.750 1

---

Entry 4:
# PBE Ir2RuRh6, relaxed
# Density of states at the Fermi level (states/eV/cell): 18.2
# Calculated density (g cm⁻³): 13.66
# Total moment (μB/f.u.): 0.00
# Energy of formation from the pure elements (meV per atom): 209
# DFT total energy (eV per cell): -138.451
data_Ir2RuRh6
_cell_length_a 7.902
_cell_length_b 4.437
_cell_length_c 8.146
_cell_angle_alpha 90.00
_cell_angle_beta 110.09
_cell_angle_gamma 90.00
_symmetry_space_group_name_H-M 'C 1 2/m 1'
_symmetry_Int_Tables_number 12
loop_
_symmetry_equiv_pos_as_xyz
'x,y,z'
'-x,-y,-z'
'-x,y,-z'
'x,-y,z'
'x+1/2,y+1/2,z'
'-x+1/2,-y+1/2,-z'
'-x+1/2,y+1/2,-z'
'x+1/2,-y+1/2,z'
loop_
_atom_site_label
_atom_site_type_symbol
_atom_site_fract_x
_atom_site_fract_y
_atom_site_fract_z
_atom_site_occupancy
Ir1 Ir 0.200 0.000 0.399 1
Ru1 Ru 0.000 0.500 0.000 1
Rh1 Rh 0.003 0.500 0.327 1
Rh2 Rh 0.190 0.000 0.731 1
Rh3 Rh 0.191 0.000 0.064 1

---

Entry 5:
# PBE Pr11Tl9Rh4, relaxed
# Density of states at the Fermi level (states/eV/cell): 35.4
# Calculated density (g cm⁻³): 9.51
# Total moment (μB/f.u.): 0.00
# Energy of formation from the pure elements (meV per atom): -518
# DFT total energy (eV per cell): -231.425
data_Pr11Tl9Rh4
_cell_length_a 15.179
_cell_length_b 22.649
_cell_length_c 3.859
_cell_angle_alpha 90.00
_cell_angle_beta 90.00
_cell_angle_gamma 90.00
_symmetry_space_group_name_H-M 'C m m m'
_symmetry_Int_Tables_number 65
_symmetry_space_group_name_Hall '-C 2 2'
loop_
_atom_site_label
_atom_site_type_symbol
_atom_site_fract_x
_atom_site_fract_y
_atom_site_fract_z
_atom_site_occupancy
Pr1 Pr 0.000 0.000 0.000 1
Pr2 Pr 0.000 0.163 0.000 1
Pr3 Pr 0.000 0.374 0.000 1
Pr4 Pr 0.188 0.500 0.000 1
Pr5 Pr 0.249 0.168 0.000 1
Tl1 Tl 0.000 0.500 0.500 1
Tl2 Tl 0.105 0.263 0.500 1
Tl3 Tl 0.146 0.071 0.500 1
Rh1 Rh 0.152 0.399 0.500 1

---

Entry 6:
# PBE GaSiH2, relaxed
# Calculated density (g cm⁻³): 2.88
# Total moment (μB/f.u.): 0.00
# Energy above the most stable polymorph in this dataset (eV per atom): 0.0263
# DFT total energy (eV per cell): -28.985
data_GaSiH2
_cell_length_a 4.203
_cell_length_b 5.583
_cell_length_c 5.584
_cell_angle_alpha 109.31
_cell_angle_beta 96.66
_cell_angle_gamma 106.59
_symmetry_space_group_name_H-M 'P 1'
_symmetry_Int_Tables_number 1
loop_
_symmetry_equiv_pos_as_xyz
'x,y,z'
loop_
_atom_site_label
_atom_site_type_symbol
_atom_site_fract_x
_atom_site_fract_y
_atom_site_fract_z
_atom_site_occupancy
Ga1 Ga 0.000 0.000 0.000 1
Ga2 Ga 0.138 0.249 0.486 1
Si1 Si 0.318 0.740 0.747 1
Si2 Si 0.628 0.130 0.667 1
H1 H 0.558 0.756 0.994 1
H2 H 0.699 0.350 0.935 1
H3 H 0.748 0.662 0.389 1
H4 H 0.771 0.567 0.263 1

---

Entry 7:
# PBE TcPb2Br, relaxed
# Density of states at the Fermi level (states/eV/cell): 7.5
# Calculated density (g cm⁻³): 9.54
# Total moment (μB/f.u.): 1.06
# Raw formation energy (eV/atom): 0.490
# Energy above the most stable polymorph in this dataset (eV per atom): 0.2021
# DFT total energy (eV per cell): -34.994
data_TcPb2Br
_cell_length_a 3.196
_cell_length_b 4.754
_cell_length_c 13.574
_cell_angle_alpha 90.00
_cell_angle_beta 90.00
_cell_angle_gamma 90.00
_symmetry_space_group_name_H-M 'I m m m'
_symmetry_Int_Tables_number 71
_symmetry_space_group_name_Hall '-I 2 2'
loop_
_atom_site_label
_atom_site_type_symbol
_atom_site_fract_x
_atom_site_fract_y
_atom_site_fract_z
_atom_site_occupancy
Tc1 Tc 0.000 0.000 0.000 1
Pb1 Pb 0.000 0.500 0.320 1
Br1 Br 0.000 0.000 0.500 1

---

Entry 8:
# PBE LiNiRh2, relaxed
# Density of states at the Fermi level (states/eV/cell): 13.3
# Calculated density (g cm⁻³): 8.34
# Total moment (μB/f.u.): 0.55
# Energy of formation from the pure elements (meV per atom): 129
# Energy above the most stable polymorph in this dataset (eV per atom): 0.1914
# DFT total energy (eV per cell): -43.765
data_LiNiRh2
_cell_length_a 2.699
_cell_length_b 4.545
_cell_length_c 8.809
_cell_angle_alpha 90.00
_cell_angle_beta 90.00
_cell_angle_gamma 90.00
_symmetry_space_group_name_H-M 'C m m 2'
_symmetry_Int_Tables_number 35
loop_
_symmetry_equiv_pos_as_xyz
'x,y,z'
'-x,-y,z'
'-x,y,z'
'x,-y,z'
'x+1/2,y+1/2,z'
'-x+1/2,-y+1/2,z'
'-x+1/2,y+1/2,z'
'x+1/2,-y+1/2,z'
loop_
_atom_site_label
_atom_site_type_symbol
_atom_site_fract_x
_atom_site_fract_y
_atom_site_fract_z
_atom_site_occupancy
Li1 Li 0.000 0.000 0.000 1
Ni1 Ni 0.000 0.500 0.757 1
Rh1 Rh 0.000 0.000 0.514 1
Rh2 Rh 0.000 0.500 0.252 1

---

Entry 9:
# PBE CoCuHRu2, relaxed
# Density of states at the Fermi level (states/eV/cell): 6.6
# Calculated density (g cm⁻³): 10.26
# Total moment (μB/f.u.): 2.14
# DFT total energy (eV per cell): -31.691
data_CoCuHRu2
_cell_length_a 3.801
_cell_length_b 3.801
_cell_length_c 3.648
_cell_angle_alpha 90.00
_cell_angle_beta 90.00
_cell_angle_gamma 90.00
_symmetry_space_group_name_H-M 'P 4/m m m'
_symmetry_Int_Tables_number 123
_symmetry_space_group_name_Hall '-P 4 2'
loop_
_atom_site_label
_atom_site_type_symbol
_atom_site_fract_x
_atom_site_fract_y
_atom_site_fract_z
_atom_site_occupancy
Co1 Co 0.000 0.000 0.000 1
Cu1 Cu 0.500 0.500 0.000 1
H1 H 0.000 0.000 0.500 1
Ru1 Ru 0.000 0.500 0.500 1

---

Entry 10:
# PBE La3Dy8Er4, relaxed
# Density of states at the Fermi level (states/eV/cell): 59.1
# Calculated density (g cm⁻³): 7.84
# Total moment (μB/f.u.): 0.00
# Energy of formation from the pure elements (meV per atom): 386
# DFT total energy (eV per cell): -128.117
data_La3Dy8Er4
_cell_length_a 13.450
_cell_length_b 12.853
_cell_length_c 6.755
_cell_angle_alpha 90.00
_cell_angle_beta 120.13
_cell_angle_gamma 90.00
_symmetry_space_group_name_H-M 'C 1 2/m 1'
_symmetry_Int_Tables_number 12
loop_
_symmetry_equiv_pos_as_xyz
'x,y,z'
'-x,-y,-z'
'-x,y,-z'
'x,-y,z'
'x+1/2,y+1/2,z'
'-x+1/2,-y+1/2,-z'
'-x+1/2,y+1/2,-z'
'x+1/2,-y+1/2,z'
loop_
_atom_site_label
_atom_site_type_symbol
_atom_site_fract_x
_atom_site_fract_y
_atom_site_fract_z
_atom_site_occupancy
La1 La 0.000 0.000 0.000 1
La2 La 0.250 0.250 0.500 1
Dy1 Dy 0.000 0.256 0.000 1
Dy2 Dy 0.000 0.363 0.500 1
Dy3 Dy 0.228 0.500 0.493 1
Dy4 Dy 0.234 0.500 0.980 1
Er1 Er 0.000 0.000 0.500 1
Er2 Er 0.000 0.500 0.000 1
Er3 Er 0.250 0.250 0.000 1

---

Entry 11:
# PBE Nd3Sm2ScS6, relaxed
# Density of states at the Fermi level (states/eV/cell): 11.2
# Calculated density (g cm⁻³): 5.97
# Total moment (μB/f.u.): 0.00
# Raw formation energy (eV/atom): -1.979
# DFT total energy (eV per cell): -157.167
data_Nd3Sm2ScS6
_cell_length_a 17.394
_cell_length_b 3.971
_cell_length_c 8.045
_cell_angle_alpha 90.00
_cell_angle_beta 103.75
_cell_angle_gamma 90.00
_symmetry_space_group_name_H-M 'C 1 2/m 1'
_symmetry_Int_Tables_number 12
loop_
_symmetry_equiv_pos_as_xyz
'x,y,z'
'-x,-y,-z'
'-x,y,-z'
'x,-y,z'
'x+1/2,y+1/2,z'
'-x+1/2,-y+1/2,-z'
'-x+1/2,y+1/2,-z'
'x+1/2,-y+1/2,z'
loop_
_atom_site_label
_atom_site_type_symbol
_atom_site_fract_x
_atom_site_fract_y
_atom_site_fract_z
_atom_site_occupancy
Nd1 Nd 0.000 0.000 0.000 1
Nd2 Nd 0.169 0.500 0.335 1
Sm1 Sm 0.166 0.500 0.833 1
Sc1 Sc 0.000 0.000 0.500 1
S1 S 0.001 0.500 0.271 1
S2 S 0.158 0.000 0.582 1
S3 S 0.168 0.000 0.080 1

---

Entry 12:
# PBE Pm3Sm5I12, relaxed
# Density of states at the Fermi level (states/eV/cell): 207.2
# Calculated density (g cm⁻³): 5.69
# Total moment (μB/f.u.): 0.01
# Raw formation energy (eV/atom): -0.670
# DFT total energy (eV per cell): -558.812
data_Pm3Sm5I12
_cell_length_a 18.496
_cell_length_b 18.496
_cell_length_c 18.496
_cell_angle_alpha 90.00
_cell_angle_beta 90.00
_cell_angle_gamma 90.00
_symmetry_space_group_name_H-M 'I a -3 d'
_symmetry_Int_Tables_number 230
_symmetry_space_group_name_Hall '-I 4bd 2c 3'
loop_
_atom_site_label
_atom_site_type_symbol
_atom_site_fract_x
_atom_site_fract_y
_atom_site_fract_z
_atom_site_occupancy
Pm1 Pm 0.000 0.250 0.125 1
Sm1 Sm 0.000 0.000 0.000 1
Sm2 Sm 0.000 0.250 0.375 1
I1 I 0.017 0.073 0.651 1